The following is a GGA+U calculation of an optimized crystal structure of Ba2CaCr2CuF14, from Alexandria via LeMat-Bulk. Values from VASP.

Quantum ESPRESSO input file:
```
&SYSTEM
  ibrav = 0, nat = 40, ntyp = 5
/
ATOMIC_SPECIES
Ba 137.33 Ba.upf
Ca 40.08 Ca.upf
Cr 52.00 Cr.upf
Cu 63.55 Cu.upf
F 19.00 F.upf
ATOMIC_POSITIONS angstrom
Ba 2.5953 0.4123 1.8504
Ba 2.4335 -0.4123 9.3707
Ba 11.3349 0.4123 5.6699
Ba 11.1731 -0.4123 13.1902
Ca 6.9651 0.4553 3.7602
Ca 6.8033 -0.4553 11.2805
Cr 1.5968 0.1488 5.6341
Cr 1.4350 -0.1488 13.1544
Cr 12.3334 0.1488 1.8862
Cr 12.1716 -0.1488 9.4065
Cu 7.0460 0.0000 0.0000
Cu 6.8842 0.0000 7.5203
F 4.7270 1.6655 3.3392
F 6.8298 2.3135 5.2116
F 7.1004 2.3135 2.3087
F 5.0538 1.3444 0.6752
F 5.6590 1.5201 7.8230
F 3.4347 0.5603 6.0001
F 5.1553 1.1007 10.6939
F 7.9476 1.5201 14.7379
F 9.2032 1.6655 4.1811
F 3.2729 -0.5603 13.5204
F 6.0151 0.3221 13.3118
F 8.8764 1.3444 6.8451
F 8.4513 1.1007 11.8670
F 7.5915 0.3221 9.2492
F 6.1769 -0.3221 5.7915
F 5.3171 -1.1007 3.1736
F 4.8920 -1.3444 8.1956
F 7.7533 -0.3221 1.7288
F 10.4955 0.5603 1.5202
F 4.5652 -1.6655 10.8595
F 5.8208 -1.5201 0.3027
F 8.6131 -1.1007 4.3467
F 10.3337 -0.5603 9.0405
F 8.1094 -1.5201 7.2176
F 8.7146 -1.3444 14.3654
F 6.6680 -2.3135 12.7320
F 6.9386 -2.3135 9.8290
F 9.0414 -1.6655 11.7014
CELL_PARAMETERS angstrom
7.0460 -2.7137 0.0000
7.0460 2.7137 0.0000
-0.3236 0.0000 15.0406
```

Computed properties:
Final energy = -227.204 eV per cell
Spin magnetization = 7.04 μB per formula unit
Crystal system = monoclinic